Here is a geometry-optimized LaTe3Se structure from the Alexandria database. Energies are from PBE.

Summary:
* size of the total moment: 0.0 μB per formula unit
* V: 32.61 A^3/atom
* space-group type: Pm-3m
* polymorph energy (0 for the lowest one): 0 meV per atom

a b c (Å): 5.463 5.463 5.463
angles (deg): 90.00 90.00 90.00
Fractional coordinates of all 5 atoms:
Te 0.000 0.000 0.500
Te 0.000 0.500 0.000
Te 0.500 0.000 0.000
La 0.500 0.500 0.500
Se 0.000 0.000 0.000

Here is a geometry-optimized SrTl2Cd6 structure from the Alexandria database. Energies are from PBE.

Summary:
* size of the total moment: 0.0 μB per formula unit
* V: 27.22 A^3/atom
* space-group type: C2/m
* E_form: -67 kJ/mol of formula units

a b c (Å): 3.578 9.018 9.018
angles (deg): 60.07 78.17 78.17
Fractional coordinates of all 9 atoms:
Cd 0.500 0.325 0.675
Cd 0.677 0.996 0.652
Cd 0.677 0.652 0.996
Cd 0.500 0.675 0.325
Cd 0.323 0.348 0.004
Cd 0.323 0.004 0.348
Sr 0.000 0.000 0.000
Tl 0.847 0.646 0.646
Tl 0.153 0.354 0.354

Here is a geometry-optimized KRb2Ca2 structure from the Alexandria database. Energies are from PBE.

Summary:
* size of the total moment: 0.0 μB per formula unit
* V: 66.81 A^3/atom
* space-group type: P4/mbm
* polymorph energy (0 for the lowest one): 29 meV per atom
* E_form: 127 kJ/mol of formula units

a b c (Å): 12.488 12.488 4.284
angles (deg): 90.00 90.00 90.00
Fractional coordinates of all 10 atoms:
Rb 0.317 0.817 0.000
Rb 0.817 0.683 0.000
Rb 0.683 0.183 0.000
Rb 0.183 0.317 0.000
Ca 0.892 0.392 0.500
Ca 0.108 0.608 0.500
Ca 0.392 0.108 0.500
Ca 0.608 0.892 0.500
K 0.500 0.500 0.000
K 0.000 0.000 0.000

Here is a geometry-optimized Ag4MoCl structure from the Alexandria database. Energies are from PBE.

Summary:
* size of the total moment: 4.5 μB per formula unit
* V: 20.31 A^3/atom
* calculated total energy: -3.384 eV/atom
* space-group type: F-43m

a b c (Å): 5.565 5.565 5.565
angles (deg): 60.00 60.00 60.00
Fractional coordinates of all 6 atoms:
Cl 0.750 0.750 0.750
Ag 0.375 0.375 0.375
Ag 0.876 0.375 0.375
Ag 0.375 0.375 0.876
Ag 0.375 0.876 0.375
Mo 0.000 0.000 0.000

Here is a geometry-optimized Ca3HoPa3N8 structure from the Alexandria database. Energies are from PBE.

Summary:
* size of the total moment: 0.0 μB per formula unit
* V: 16.41 A^3/atom
* calculated total energy: -8.460 eV/atom
* space-group type: R-3m

a b c (Å): 7.065 7.065 7.004
angles (deg): 120.28 90.00 120.00
Fractional coordinates of all 15 atoms:
N 0.275 0.041 0.306
N 0.765 0.530 0.306
N 0.235 0.959 0.694
N 0.742 0.484 0.726
N 0.725 0.959 0.694
N 0.235 0.470 0.694
N 0.765 0.041 0.306
N 0.258 0.516 0.274
Ca 0.000 0.500 0.000
Ca 0.500 0.500 0.000
Ca 0.000 0.000 0.000
Pa 0.500 0.500 0.500
Pa 0.500 0.000 0.500
Pa 0.000 0.500 0.500
Ho 0.000 0.000 0.500

Here is a geometry-optimized Ca3PC structure from the Alexandria database. Energies are from PBE.

Summary:
* size of the total moment: 0.4 μB per formula unit
* V: 22.78 A^3/atom
* space-group type: Pm-3m
* polymorph energy (0 for the lowest one): 0 meV per atom
* E_form: -116 kJ/mol of formula units

a b c (Å): 4.848 4.848 4.848
angles (deg): 90.00 90.00 90.00
Fractional coordinates of all 5 atoms:
Ca 0.000 0.500 0.000
Ca 0.500 0.000 0.000
Ca 0.000 0.000 0.500
C 0.000 0.000 0.000
P 0.500 0.500 0.500